# 1
VASP calculation (PBE) on a relaxed structure of TbDyHo2.

a b c (Å): 3.5296 3.5296 9.9838
angles (deg): 90.00 90.00 90.00
Last column: nearest neighbours and their distance in Å.
Space group P4/mmm (No. 123)
One atom of each set of equivalent atoms:
Tb (0.0000, 0.0000, 0.0000) [1 per cell]  4 Tb 3.53, 8 Ho 3.53
Dy (0.0000, 0.0000, 0.5000) [1 per cell]  8 Ho 3.53, 4 Dy 3.53
Ho (0.5000, 0.5000, 0.2506) [2 per cell]  4 Dy 3.53, 4 Ho 3.53, 4 Tb 3.53

ΔH_f (0 K): 0.02 eV per atom



# 2
VASP calculation (PBE) on a relaxed structure of Tb3Pd2.

a b c (Å): 6.9334 6.9334 19.3767
angles (deg): 90.00 90.00 120.00
Last column: nearest neighbours and their distance in Å.
Space group R-3c (No. 167, hexagonal axes)
One atom of each set of equivalent atoms:
Tb (0.0000, 0.3717, 0.2500) [18 per cell]  4 Pd 2.87-2.92
Pd (0.0000, 0.0000, 0.1790) [12 per cell]  1 Pd 2.75, 6 Tb 2.87-2.92

ΔH_f (0 K): -0.60 eV per atom



# 3
VASP calculation (PBE) on a relaxed structure of Nb4CN.

a b c (Å): 11.2591 3.1437 5.4664
angles (deg): 90.00 118.75 90.00
Last column: nearest neighbours and their distance in Å.
Space group C2/m (No. 12)
One atom of each set of equivalent atoms:
Nb (0.1246, 0.0000, 0.2900) [4 per cell]  2 C 2.19, 1 N 2.20
Nb (0.1247, 0.5000, 0.7908) [4 per cell]  2 N 2.20, 1 C 2.20
C (0.0000, 0.5000, 0.0000) [2 per cell]  6 Nb 2.19-2.20
N (0.0000, 0.0000, 0.5000) [2 per cell]  6 Nb 2.20

Raw total energy: -10.283 eV/atom



# 4
VASP calculation (PBE) on a relaxed structure of Pt2PbBr.

a b c (Å): 5.8370 8.0721 3.7662
angles (deg): 90.00 90.00 90.00
Last column: nearest neighbours and their distance in Å.
Space group Cmmm (No. 65)
One atom of each set of equivalent atoms:
Pt (0.0000, 0.2463, 0.0000) [4 per cell]  2 Pb 2.74, 2 Br 2.78, 2 Pt 2.92
Pb (0.0000, 0.0000, 0.5000) [2 per cell]  4 Pt 2.74, 2 Br 2.92
Br (0.0000, 0.5000, 0.5000) [2 per cell]  4 Pt 2.78, 2 Pb 2.92

Raw total energy: -4.194 eV/atom



# 5
VASP calculation (PBE) on a relaxed structure of CaNpS2F.

a b c (Å): 3.8820 3.8820 13.5690
angles (deg): 90.00 90.00 90.00
Last column: nearest neighbours and their distance in Å.
Space group P4/nmm (No. 129, origin choice 2)
One atom of each set of equivalent atoms:
Ca (0.2500, 0.2500, 0.0992) [2 per cell]  4 F 2.36
Np (0.2500, 0.2500, 0.6157) [2 per cell]  6 S 2.56-2.83
S (0.2500, 0.2500, 0.4073) [2 per cell]  5 Np 2.76-2.83
S (0.2500, 0.2500, 0.8040) [2 per cell]  1 Np 2.56
F (0.2500, 0.7500, 0.0000) [2 per cell]  4 Ca 2.36

Raw total energy: -7.263 eV/atom



# 6
VASP calculation (PBE) on a relaxed structure of CdAg2Pb2.

a b c (Å): 4.5767 4.5767 13.1465
angles (deg): 90.00 90.00 90.00
Last column: nearest neighbours and their distance in Å.
Space group I4/mmm (No. 139)
One atom of each set of equivalent atoms:
Cd (0.0000, 0.0000, 0.0000) [2 per cell]  8 Ag 3.50
Ag (0.0000, 0.0000, 0.3987) [4 per cell]  1 Ag 2.66
Pb (0.0000, 0.5000, 0.2500) [4 per cell]  4 Ag 3.01, 4 Pb 3.24

ΔH_f (0 K): 0.27 eV per atom



# 7
VASP calculation (PBE) on a relaxed structure of RbCd2Pd.

a b c (Å): 3.5254 3.5254 8.5381
angles (deg): 90.00 90.00 90.00
Last column: nearest neighbours and their distance in Å.
Space group P4/mmm (No. 123)
One atom of each set of equivalent atoms:
Rb (0.0000, 0.0000, 0.0000) [1 per cell]  4 Rb 3.53, 8 Cd 3.75
Cd (0.5000, 0.5000, 0.3279) [2 per cell]  4 Pd 2.89, 1 Cd 2.94
Pd (0.0000, 0.0000, 0.5000) [1 per cell]  8 Cd 2.89

ΔH_f (0 K): -0.06 eV per atom



# 8
VASP calculation (PBE) on a relaxed structure of Zn2NiTe.

a b c (Å): 3.8757 3.8757 8.9883
angles (deg): 90.00 90.00 90.00
Last column: nearest neighbours and their distance in Å.
Space group I4/mmm (No. 139)
One atom of each set of equivalent atoms:
Zn (0.0000, 0.5000, 0.2500) [4 per cell]  4 Zn 2.74, 4 Te 2.97, 4 Ni 2.97
Ni (0.0000, 0.0000, 0.0000) [2 per cell]  4 Te 2.74, 8 Zn 2.97
Te (0.0000, 0.0000, 0.5000) [2 per cell]  4 Ni 2.74, 8 Zn 2.97

Raw total energy: -2.696 eV/atom



# 9
VASP calculation (PBE) on a relaxed structure of Mg2Sb3.

a b c (Å): 8.2696 8.2696 13.4950
angles (deg): 90.00 90.00 120.00
Last column: nearest neighbours and their distance in Å.
Space group R-3c (No. 167, hexagonal axes)
One atom of each set of equivalent atoms:
Mg (0.0000, 0.0000, 0.1239) [12 per cell]  6 Sb 2.92-3.05
Sb (0.0000, 0.3066, 0.2500) [18 per cell]  4 Mg 2.92-3.05

Raw total energy: -3.126 eV/atom



# 10
VASP calculation (PBE) on a relaxed structure of La2Er3Tm3.

a b c (Å): 5.0632 5.0640 19.9458
angles (deg): 90.00 90.00 90.00
Last column: nearest neighbours and their distance in Å.
Space group Immm (No. 71)
One atom of each set of equivalent atoms:
La (0.0000, 0.0000, 0.2501) [4 per cell]  4 La 3.58, 4 Er 3.61, 4 Tm 3.61
Er (0.0000, 0.0000, 0.0000) [2 per cell]  8 Tm 3.50-3.58, 4 Er 3.50
Er (0.0000, 0.5000, 0.1210) [4 per cell]  6 Tm 3.50-3.58, 2 Er 3.50, 4 La 3.61
Tm (0.0000, 0.0000, 0.5000) [2 per cell]  8 Er 3.50-3.58, 4 Tm 3.50
Tm (0.0000, 0.5000, 0.3790) [4 per cell]  6 Er 3.50-3.58, 2 Tm 3.50, 4 La 3.61

ΔH_f (0 K): 0.04 eV per atom



# 11
VASP calculation (PBE) on a relaxed structure of LaCoCl3.

a b c (Å): 4.6245 4.6245 4.6245
angles (deg): 90.00 90.00 90.00
Last column: nearest neighbours and their distance in Å.
Space group Pm-3m (No. 221)
One atom of each set of equivalent atoms:
La (0.0000, 0.0000, 0.0000) [1 per cell]  12 Cl 3.27
Co (0.5000, 0.5000, 0.5000) [1 per cell]  6 Cl 2.31
Cl (0.0000, 0.5000, 0.5000) [3 per cell]  2 Co 2.31

Raw total energy: -4.474 eV/atom



# 12
VASP calculation (PBE) on a relaxed structure of CoPb3.

a b c (Å): 10.1505 10.1505 3.5288
angles (deg): 90.00 90.00 120.00
Last column: nearest neighbours and their distance in Å.
Space group R-3m (No. 166, hexagonal axes)
One atom of each set of equivalent atoms:
Co (0.0000, 0.0000, 0.0000) [3 per cell]  6 Pb 3.16, 2 Co 3.53
Pb (0.0000, 0.5000, 0.0000) [9 per cell]  2 Co 3.16, 6 Pb 3.16-3.53

ΔH_f (0 K): 0.63 eV per atom



# 13
VASP calculation (PBE) on a relaxed structure of K2RbPbF6.

a b c (Å): 6.5417 6.8924 11.2782
angles (deg): 90.00 123.91 90.00
Last column: nearest neighbours and their distance in Å.
Space group P2_1/c (No. 14)
One atom of each set of equivalent atoms:
K (0.2198, 0.0472, 0.2309) [4 per cell]  6 F 2.66-2.97
Rb (0.0000, 0.0000, 0.5000) [2 per cell]  6 F 2.70-2.87
Pb (0.5000, 0.0000, 0.0000) [2 per cell]  6 F 2.27-2.30
F (0.1671, 0.1632, 0.9616) [4 per cell]  1 Pb 2.27
F (0.2441, 0.7355, 0.9048) [4 per cell]  1 Pb 2.30
F (0.4069, 0.0907, 0.7803) [4 per cell]  1 Pb 2.28

Raw total energy: -4.332 eV/atom



# 14
VASP calculation (PBE) on a relaxed structure of KYCl2.

a b c (Å): 4.0842 4.0842 16.0448
angles (deg): 90.00 90.00 90.00
Last column: nearest neighbours and their distance in Å.
Space group I-4m2 (No. 119)
One atom of each set of equivalent atoms:
K (0.0000, 0.0000, 0.0000) [2 per cell]  4 Cl 2.89
Y (0.0000, 0.5000, 0.7500) [2 per cell]  4 Cl 2.89
Cl (0.0000, 0.0000, 0.5000) [2 per cell]  4 K 2.89
Cl (0.0000, 0.5000, 0.2500) [2 per cell]  4 Y 2.89

Raw total energy: -3.943 eV/atom



# 15
VASP calculation (PBE) on a relaxed structure of SbHI2N.

a b c (Å): 5.6840 5.6840 3.8958
angles (deg): 90.00 90.00 90.00
Last column: nearest neighbours and their distance in Å.
Space group P4/mmm (No. 123)
One atom of each set of equivalent atoms:
Sb (0.0000, 0.0000, 0.0000) [1 per cell]  2 H 1.95
H (0.0000, 0.0000, 0.5000) [1 per cell]  2 Sb 1.95
I (0.0000, 0.5000, 0.5000) [2 per cell]  2 H 2.84
N (0.5000, 0.5000, 0.0000) [1 per cell]  8 I 3.45

Raw total energy: -2.510 eV/atom



# 16
VASP calculation (PBE) on a relaxed structure of EuHgAu2.

a b c (Å): 3.7310 3.7310 6.7889
angles (deg): 90.00 90.00 90.00
Last column: nearest neighbours and their distance in Å.
Space group P4/mmm (No. 123)
One atom of each set of equivalent atoms:
Eu (0.0000, 0.0000, 0.0000) [1 per cell]  8 Au 3.19, 2 Hg 3.39
Hg (0.0000, 0.0000, 0.5000) [1 per cell]  8 Au 3.08, 2 Eu 3.39
Au (0.5000, 0.5000, 0.2650) [2 per cell]  4 Hg 3.08, 1 Au 3.19, 4 Eu 3.19

ΔH_f (0 K): -0.46 eV per atom



# 17
VASP calculation (PBE) on a relaxed structure of FeTeIr2.

a b c (Å): 2.8152 3.6735 6.7690
angles (deg): 90.00 90.00 90.00
Last column: nearest neighbours and their distance in Å.
Space group Pmm2 (No. 25)
One atom of each set of equivalent atoms:
Fe (0.0000, 0.0000, 0.0000) [1 per cell]  5 Ir 2.59-2.62, 2 Fe 2.82, 2 Te 2.83
Te (0.0000, 0.5000, 0.3173) [1 per cell]  2 Ir 2.74, 2 Te 2.82, 2 Fe 2.83
Ir (0.0000, 0.0000, 0.6175) [1 per cell]  1 Fe 2.59, 6 Ir 2.69-2.82, 2 Te 2.74
Ir (0.5000, 0.5000, 0.8188) [1 per cell]  4 Fe 2.62, 6 Ir 2.69-2.82

Raw total energy: -6.983 eV/atom



# 18
VASP calculation (PBE) on a relaxed structure of Ti5Pd6.

a b c (Å): 6.6614 11.0515 5.2131
angles (deg): 90.00 108.97 90.00
Last column: nearest neighbours and their distance in Å.
Space group C2/m (No. 12)
One atom of each set of equivalent atoms:
Ti (0.0000, 0.0000, 0.0000) [2 per cell]  6 Pd 2.57-2.64
Ti (0.0000, 0.1522, 0.5000) [4 per cell]  6 Pd 2.62-2.78
Ti (0.0000, 0.2737, 0.0000) [4 per cell]  4 Pd 2.55-2.69
Pd (0.1890, 0.3723, 0.6995) [8 per cell]  5 Ti 2.55-2.78, 2 Pd 2.69-2.82
Pd (0.1920, 0.5000, 0.2167) [4 per cell]  5 Ti 2.64-2.87, 3 Pd 2.81-2.89

ΔH_f (0 K): -0.37 eV per atom



# 19
VASP calculation (PBE) on a relaxed structure of NiAgSe.

a b c (Å): 3.1113 3.1113 10.2785
angles (deg): 90.00 90.00 90.00
Last column: nearest neighbours and their distance in Å.
Space group I4mm (No. 107)
One atom of each set of equivalent atoms:
Ni (0.0000, 0.0000, 0.0000) [2 per cell]  4 Se 2.45
Ag (0.0000, 0.0000, 0.3198) [2 per cell]  4 Ni 2.88, 5 Se 2.93-3.12, 4 Ag 3.11
Se (0.0000, 0.0000, 0.6051) [2 per cell]  4 Ni 2.45

Raw total energy: -3.931 eV/atom



# 20
VASP calculation (PBE) on a relaxed structure of Tl2CuSb2Au.

a b c (Å): 17.2838 6.3218 6.1397
angles (deg): 90.00 107.18 90.00
Last column: nearest neighbours and their distance in Å.
Space group C2/c (No. 15)
One atom of each set of equivalent atoms:
Tl (0.1767, 0.2242, 0.1821) [8 per cell]  5 Sb 3.34-3.71, 1 Au 3.44, 1 Cu 3.54
Cu (0.0000, 0.4632, 0.2500) [4 per cell]  4 Sb 2.66, 1 Au 2.76
Sb (0.0990, 0.2785, 0.6166) [8 per cell]  2 Cu 2.66, 2 Au 2.85-2.87
Au (0.0000, 0.0266, 0.2500) [4 per cell]  1 Cu 2.76, 4 Sb 2.85-2.87, 2 Au 3.09

Raw total energy: -3.383 eV/atom